## Ti2TcO (PBE-GGA)

Data for a relaxed Ti2TcO crystal.

Calculated values
V ... 13.01 Å³/atom
DOS at the Fermi energy ... 3.19 states/eV/cell
Raw formation energy ... -0.84 eV per atom
Theoretical density ... 6.69 g/cm³

Structure (CIF):
```
data_Ti2TcO
_chemical_formula_sum 'Ti2 Tc1 O1'
_cell_length_a 2.9007
_cell_length_b 2.9007
_cell_length_c 6.1865
_cell_angle_alpha 90.00
_cell_angle_beta 90.00
_cell_angle_gamma 90.00
_space_group_name_H-M_alt 'P 4/m m m'
_space_group_IT_number 123
_space_group_name_Hall '-P 4 2'
loop_
_atom_site_label
_atom_site_type_symbol
_atom_site_fract_x
_atom_site_fract_y
_atom_site_fract_z
Ti1 Ti 0.0000 0.0000 0.2341
Tc1 Tc 0.5000 0.5000 0.5000
O1 O 0.5000 0.5000 0.0000
```

---

## TiTlTcO6 (PBE-GGA)

Data for a relaxed TiTlTcO6 crystal.

Calculated values
V ... 15.54 Å³/atom
Raw formation energy ... -1.75 eV per atom
Theoretical density ... 5.30 g/cm³

Structure (CIF):
```
data_TiTlTcO6
_chemical_formula_sum 'Ti1 Tl1 Tc1 O6'
_cell_length_a 5.2311
_cell_length_b 5.2311
_cell_length_c 5.9004
_cell_angle_alpha 90.00
_cell_angle_beta 90.00
_cell_angle_gamma 120.00
_space_group_name_H-M_alt 'P 3'
_space_group_IT_number 143
loop_
_space_group_symop_operation_xyz
'x,y,z'
'-y,x-y,z'
'-x+y,-x,z'
loop_
_atom_site_label
_atom_site_type_symbol
_atom_site_fract_x
_atom_site_fract_y
_atom_site_fract_z
Ti1 Ti 0.0000 0.0000 0.0000
Tl1 Tl 0.6667 0.3333 0.4207
Tc1 Tc 0.3333 0.6667 0.9098
O1 O 0.0615 0.7224 0.7648
O2 O 0.0717 0.3489 0.1364
```

---

## TiTl2TcO6 (PBE-GGA)

Data for a relaxed TiTl2TcO6 crystal.

Calculated values
V ... 12.70 Å³/atom
DOS at the Fermi energy ... 6.87 states/eV/cell
Raw formation energy ... -1.55 eV per atom
Theoretical density ... 8.51 g/cm³

Structure (CIF):
```
data_TiTl2TcO6
_chemical_formula_sum 'Ti2 Tl4 Tc2 O12'
_cell_length_a 5.6353
_cell_length_b 5.6353
_cell_length_c 7.9952
_cell_angle_alpha 90.00
_cell_angle_beta 90.00
_cell_angle_gamma 90.00
_space_group_name_H-M_alt 'I 4/m m m'
_space_group_IT_number 139
_space_group_name_Hall '-I 4 2'
loop_
_atom_site_label
_atom_site_type_symbol
_atom_site_fract_x
_atom_site_fract_y
_atom_site_fract_z
Ti1 Ti 0.0000 0.0000 0.0000
Tl1 Tl 0.0000 0.5000 0.2500
Tc1 Tc 0.0000 0.0000 0.5000
O1 O 0.0000 0.0000 0.2546
O2 O 0.2457 0.2457 0.5000
```

---

## TmTiTcO6 (PBE-GGA)

Data for a relaxed TmTiTcO6 crystal.

Calculated values
V ... 11.62 Å³/atom
DOS at the Fermi energy ... 8.19 states/eV/cell
Raw formation energy ... -2.40 eV per atom
Theoretical density ... 6.52 g/cm³

Structure (CIF):
```
data_TmTiTcO6
_chemical_formula_sum 'Tm2 Ti2 Tc2 O12'
_cell_length_a 5.2398
_cell_length_b 5.2398
_cell_length_c 8.7973
_cell_angle_alpha 90.00
_cell_angle_beta 90.00
_cell_angle_gamma 120.00
_space_group_name_H-M_alt 'P -3 1 c'
_space_group_IT_number 163
_space_group_name_Hall '-P 3 2c'
loop_
_atom_site_label
_atom_site_type_symbol
_atom_site_fract_x
_atom_site_fract_y
_atom_site_fract_z
Tm1 Tm 0.3333 0.6667 0.2500
Ti1 Ti 0.0000 0.0000 0.0000
Tc1 Tc 0.3333 0.6667 0.7500
O1 O 0.0384 0.3399 0.6234
```

---

## ZrTi2TcO (PBE-GGA)

Data for a relaxed ZrTi2TcO crystal.

Calculated values
V ... 14.98 Å³/atom
DOS at the Fermi energy ... 6.14 states/eV/cell
Raw formation energy ... -1.07 eV per atom
Theoretical density ... 6.67 g/cm³

Structure (CIF):
```
data_ZrTi2TcO
_chemical_formula_sum 'Zr1 Ti2 Tc1 O1'
_cell_length_a 4.0414
_cell_length_b 4.0414
_cell_length_c 4.5843
_cell_angle_alpha 90.00
_cell_angle_beta 90.00
_cell_angle_gamma 90.00
_space_group_name_H-M_alt 'P 4/m m m'
_space_group_IT_number 123
_space_group_name_Hall '-P 4 2'
loop_
_atom_site_label
_atom_site_type_symbol
_atom_site_fract_x
_atom_site_fract_y
_atom_site_fract_z
Zr1 Zr 0.0000 0.0000 0.0000
Ti1 Ti 0.0000 0.5000 0.5000
Tc1 Tc 0.5000 0.5000 0.0000
O1 O 0.0000 0.0000 0.5000
```

---

## Zr2TiTcO (PBE-GGA)

Data for a relaxed Zr2TiTcO crystal.

Calculated values
V ... 16.18 Å³/atom
DOS at the Fermi energy ... 4.72 states/eV/cell
Raw formation energy ... -1.09 eV per atom
Theoretical density ... 7.07 g/cm³

Structure (CIF):
```
data_Zr2TiTcO
_chemical_formula_sum 'Zr2 Ti1 Tc1 O1'
_cell_length_a 4.5795
_cell_length_b 4.5795
_cell_length_c 3.8571
_cell_angle_alpha 90.00
_cell_angle_beta 90.00
_cell_angle_gamma 90.00
_space_group_name_H-M_alt 'P 4/m m m'
_space_group_IT_number 123
_space_group_name_Hall '-P 4 2'
loop_
_atom_site_label
_atom_site_type_symbol
_atom_site_fract_x
_atom_site_fract_y
_atom_site_fract_z
Zr1 Zr 0.0000 0.5000 0.0000
Ti1 Ti 0.0000 0.0000 0.5000
Tc1 Tc 0.5000 0.5000 0.5000
O1 O 0.0000 0.0000 0.0000
```

---

## Zr2TiTcO (PBE-GGA)

Data for a relaxed Zr2TiTcO crystal.

Calculated values
V ... 19.34 Å³/atom
DOS at the Fermi energy ... 6.02 states/eV/cell
Raw formation energy ... 0.20 eV per atom
Theoretical density ... 5.91 g/cm³

Structure (CIF):
```
data_Zr2TiTcO
_chemical_formula_sum 'Zr2 Ti1 Tc1 O1'
_cell_length_a 5.1789
_cell_length_b 5.1789
_cell_length_c 3.6050
_cell_angle_alpha 90.00
_cell_angle_beta 90.00
_cell_angle_gamma 90.00
_space_group_name_H-M_alt 'P 4/m m m'
_space_group_IT_number 123
_space_group_name_Hall '-P 4 2'
loop_
_atom_site_label
_atom_site_type_symbol
_atom_site_fract_x
_atom_site_fract_y
_atom_site_fract_z
Zr1 Zr 0.0000 0.5000 0.0000
Ti1 Ti 0.0000 0.0000 0.0000
Tc1 Tc 0.5000 0.5000 0.5000
O1 O 0.0000 0.0000 0.5000
```

---

## Tl3TcO (PBE-GGA)

Data for a relaxed Tl3TcO crystal.

Calculated values
V ... 23.13 Å³/atom
DOS at the Fermi energy ... 3.72 states/eV/cell
Raw formation energy ... 0.63 eV per atom
Theoretical density ... 10.44 g/cm³

Structure (CIF):
```
data_Tl3TcO
_chemical_formula_sum 'Tl3 Tc1 O1'
_cell_length_a 4.8724
_cell_length_b 4.8724
_cell_length_c 4.8724
_cell_angle_alpha 90.00
_cell_angle_beta 90.00
_cell_angle_gamma 90.00
_space_group_name_H-M_alt 'P m -3 m'
_space_group_IT_number 221
_space_group_name_Hall '-P 4 2 3'
loop_
_atom_site_label
_atom_site_type_symbol
_atom_site_fract_x
_atom_site_fract_y
_atom_site_fract_z
Tl1 Tl 0.0000 0.0000 0.5000
Tc1 Tc 0.5000 0.5000 0.5000
O1 O 0.0000 0.0000 0.0000
```

---

## TlTcO3 (PBE-GGA)

Data for a relaxed TlTcO3 crystal.

Calculated values
V ... 16.07 Å³/atom
DOS at the Fermi energy ... 10.39 states/eV/cell
Raw formation energy ... -0.25 eV per atom
Theoretical density ... 7.24 g/cm³

Structure (CIF):
```
data_TlTcO3
_chemical_formula_sum 'Tl4 Tc4 O12'
_cell_length_a 3.5337
_cell_length_b 3.5337
_cell_length_c 25.7310
_cell_angle_alpha 90.00
_cell_angle_beta 90.00
_cell_angle_gamma 90.00
_space_group_name_H-M_alt 'I -4 m 2'
_space_group_IT_number 119
_space_group_name_Hall 'I -4 -2'
loop_
_atom_site_label
_atom_site_type_symbol
_atom_site_fract_x
_atom_site_fract_y
_atom_site_fract_z
Tl1 Tl 0.0000 0.0000 0.0000
Tl2 Tl 0.0000 0.5000 0.2500
Tc1 Tc 0.0000 0.5000 0.6312
O1 O 0.0000 0.0000 0.3316
O2 O 0.0000 0.2632 0.1036
```

---

## TlTcO2 (PBE-GGA)

Data for a relaxed TlTcO2 crystal.

Calculated values
V ... 18.41 Å³/atom
DOS at the Fermi energy ... 7.69 states/eV/cell
Raw formation energy ... -0.69 eV per atom
Theoretical density ... 7.54 g/cm³

Structure (CIF):
```
data_TlTcO2
_chemical_formula_sum 'Tl4 Tc4 O8'
_cell_length_a 5.3121
_cell_length_b 5.3121
_cell_length_c 10.4409
_cell_angle_alpha 90.00
_cell_angle_beta 90.00
_cell_angle_gamma 90.00
_space_group_name_H-M_alt 'I -4 2 d'
_space_group_IT_number 122
_space_group_name_Hall 'I -4 2bw'
loop_
_atom_site_label
_atom_site_type_symbol
_atom_site_fract_x
_atom_site_fract_y
_atom_site_fract_z
Tl1 Tl 0.0000 0.0000 0.0000
Tc1 Tc 0.0000 0.0000 0.5000
O1 O 0.0923 0.2500 0.6250
```

---

## TlTcO3 (PBE-GGA)

Data for a relaxed TlTcO3 crystal.

Calculated values
V ... 23.34 Å³/atom
DOS at the Fermi energy ... 5.81 states/eV/cell
Raw formation energy ... -0.49 eV per atom
Theoretical density ... 4.99 g/cm³

Structure (CIF):
```
data_TlTcO3
_chemical_formula_sum 'Tl4 Tc4 O12'
_cell_length_a 8.4026
_cell_length_b 15.0309
_cell_length_c 3.6955
_cell_angle_alpha 90.00
_cell_angle_beta 90.00
_cell_angle_gamma 90.00
_space_group_name_H-M_alt 'C m c m'
_space_group_IT_number 63
_space_group_name_Hall '-C 2c 2'
loop_
_atom_site_label
_atom_site_type_symbol
_atom_site_fract_x
_atom_site_fract_y
_atom_site_fract_z
Tl1 Tl 0.0000 0.1474 0.2500
Tc1 Tc 0.0000 0.4409 0.2500
O1 O 0.0000 0.0000 0.0000
O2 O 0.1833 0.3905 0.2500
```

---

## TlTcO3 (PBE-GGA)

Data for a relaxed TlTcO3 crystal.

Calculated values
V ... 20.43 Å³/atom
DOS at the Fermi energy ... 0.00 states/eV/cell
Raw formation energy ... -1.22 eV per atom
Theoretical density ... 5.70 g/cm³

Structure (CIF):
```
data_TlTcO3
_chemical_formula_sum 'Tl2 Tc2 O6'
_cell_length_a 5.1704
_cell_length_b 6.3512
_cell_length_c 6.6883
_cell_angle_alpha 106.77
_cell_angle_beta 100.61
_cell_angle_gamma 95.15
_space_group_name_H-M_alt 'P -1'
_space_group_IT_number 2
loop_
_space_group_symop_operation_xyz
'x,y,z'
'-x,-y,-z'
loop_
_atom_site_label
_atom_site_type_symbol
_atom_site_fract_x
_atom_site_fract_y
_atom_site_fract_z
Tl1 Tl 0.2276 0.3847 0.1705
Tc1 Tc 0.3028 0.0548 0.5663
O1 O 0.0293 0.0621 0.3417
O2 O 0.3931 0.2840 0.8078
O3 O 0.4345 0.7885 0.5623
```